# 1
# Zr2WBr

A geometry-optimized Zr2WBr structure (PBE, Alexandria).

```
4
Lattice="-1.8980 -3.5191 -3.5194 1.6385 -4.7754 1.6983 -3.0025 4.0880 1.6266" Properties=species:S:1:pos:R:3 pbc="T T T"
W -2.5151 -1.7892 -1.4017
Br -0.7469 -2.4173 1.2072
Zr -0.1294 -4.1380 -0.9085
Zr -0.0003 -0.0093 -0.0020
```

Computed properties:
Fermi-level density of states	3.723	states/eV/f.u.
energy relative to the elements, uncorrected	0.405	eV per atom
crystal system	orthorhombic
total magnetization	0.0	μB per formula unit


# 2
# Zr2WBr

A geometry-optimized Zr2WBr structure (PBE, Alexandria).

```
4
Lattice="-1.4606 0.3803 2.8237 -0.1712 -3.0142 -1.0663 7.5478 -1.9004 4.1602" Properties=species:S:1:pos:R:3 pbc="T T T"
Br 1.0710 -1.7920 1.9187
Zr 3.9138 -0.9854 2.1572
W 4.8449 -2.7422 3.9988
Zr 7.4079 -1.8652 4.0831
```

Computed properties:
Fermi-level density of states	3.646	states/eV/f.u.
energy relative to the elements, uncorrected	-0.076	eV per atom
crystal system	orthorhombic
total magnetization	0.0	μB per formula unit


# 3
# Zr2WBr

A geometry-optimized Zr2WBr structure (PBE, Alexandria).

```
4
Lattice="-1.4953 -0.1410 4.0765 1.7321 -0.5400 3.9474 1.0921 7.2548 4.8823" Properties=species:S:1:pos:R:3 pbc="T T T"
Br 0.9967 4.9304 9.6796
Zr 0.0871 0.4307 0.8473
Zr 0.5773 2.8562 5.6057
W 0.3322 1.6435 3.2265
```

Computed properties:
Fermi-level density of states	3.852	states/eV/f.u.
energy relative to the elements, uncorrected	0.054	eV per atom
crystal system	monoclinic
total magnetization	0.0	μB per formula unit


# 4
# ZrW2Br

A geometry-optimized ZrW2Br structure (PBE, Alexandria).

```
4
Lattice="3.2191 0.0000 0.0000 0.0000 3.2191 0.0000 0.0000 0.0000 8.0484" Properties=species:S:1:pos:R:3 pbc="T T T"
Zr 0.0000 0.0000 3.7892
W 0.0000 0.0000 0.5941
W 1.6096 1.6096 1.9176
Br 1.6096 1.6096 5.7717
```

Computed properties:
Fermi-level density of states	3.918	states/eV/f.u.
energy relative to the elements, uncorrected	0.209	eV per atom
crystal system	tetragonal
total magnetization	0.0	μB per formula unit


# 5
# ZrW2Br

A geometry-optimized ZrW2Br structure (PBE, Alexandria).

```
8
Lattice="3.7883 0.0000 0.0000 0.0000 3.7883 0.0000 1.8941 1.8941 10.8716" Properties=species:S:1:pos:R:3 pbc="T T T"
W 0.8974 2.8412 2.7179
Br 1.8941 1.8941 0.0000
Br 1.8941 3.7883 5.4358
W 2.8412 2.7916 8.1537
W 4.7354 4.7850 8.1537
Zr 0.0000 0.0000 0.0000
W 2.8908 0.9471 2.7179
Zr 3.7883 1.8941 5.4358
```

Computed properties:
Fermi-level density of states	4.905	states/eV/f.u.
energy relative to the elements, uncorrected	0.828	eV per atom
crystal system	tetragonal
total magnetization	0.0	μB per formula unit


# 6
# ZrW2Br

A geometry-optimized ZrW2Br structure (PBE, Alexandria).

```
4
Lattice="5.1042 0.0006 -0.0062 4.0820 3.0643 -0.0062 1.7182 0.5733 5.0198" Properties=species:S:1:pos:R:3 pbc="T T T"
Br 3.1386 1.0472 1.6358
W 10.7078 3.5725 4.6861
W 7.7961 2.6011 4.0265
Zr 5.6185 1.8745 2.1701
```

Computed properties:
Fermi-level density of states	3.473	states/eV/f.u.
energy relative to the elements, uncorrected	0.565	eV per atom
crystal system	monoclinic
total magnetization	0.0	μB per formula unit


# 7
# ZrW2Br

A geometry-optimized ZrW2Br structure (PBE, Alexandria).

```
4
Lattice="-1.2830 0.7791 -4.8970 -1.3721 -3.5371 -0.2032 -3.4127 1.2610 1.0947" Properties=species:S:1:pos:R:3 pbc="T T T"
W -2.3924 -1.1381 0.4457
Br -2.3479 1.0200 -1.9011
Zr -1.3275 -1.3790 -2.5501
W 0.0000 0.0000 0.0000
```

Computed properties:
Fermi-level density of states	2.921	states/eV/f.u.
energy relative to the elements, uncorrected	0.745	eV per atom
crystal system	tetragonal
total magnetization	0.0	μB per formula unit


# 8
# Zr2WBr

A geometry-optimized Zr2WBr structure (PBE, Alexandria).

```
4
Lattice="5.0278 -0.0005 0.0000 0.8582 4.9541 0.0000 -2.9430 -2.4768 3.2378" Properties=species:S:1:pos:R:3 pbc="T T T"
Br 0.4291 2.4770 1.6189
Zr 0.0000 0.0000 0.0000
Zr 2.9430 2.4768 0.0000
W 2.5139 -0.0003 1.6189
```

Computed properties:
Fermi-level density of states	3.076	states/eV/f.u.
energy relative to the elements, uncorrected	0.421	eV per atom
crystal system	tetragonal
total magnetization	0.0	μB per formula unit


# 9
# ZrWBr3

A geometry-optimized ZrWBr3 structure (PBE, Alexandria).

```
5
Lattice="5.1436 0.0000 0.0000 0.0000 5.1436 0.0000 0.0000 0.0000 5.1436" Properties=species:S:1:pos:R:3 pbc="T T T"
Zr 2.5718 2.5718 2.5718
W 0.0000 0.0000 0.0000
Br 0.0000 2.5718 0.0000
Br 0.0000 0.0000 2.5718
Br 2.5718 0.0000 0.0000
```

Computed properties:
Fermi-level density of states	8.295	states/eV/f.u.
energy relative to the elements, uncorrected	0.932	eV per atom
crystal system	cubic
total magnetization	5.2	μB per formula unit


# 10
# Zr2WBr

A geometry-optimized Zr2WBr structure (PBE, Alexandria).

```
4
Lattice="6.0149 0.0082 -0.0056 3.2988 5.0296 0.0056 -4.2436 -3.2829 2.7191" Properties=species:S:1:pos:R:3 pbc="T T T"
W 3.2395 -0.3641 1.3568
Zr 1.7471 2.0739 1.3623
Br 5.0389 2.7255 0.0000
Zr 9.0152 4.8763 0.0000
```

Computed properties:
Fermi-level density of states	4.958	states/eV/f.u.
energy relative to the elements, uncorrected	0.283	eV per atom
crystal system	orthorhombic
total magnetization	0.0	μB per formula unit


# 11
# ZrW2Br

A geometry-optimized ZrW2Br structure (PBE, Alexandria).

```
4
Lattice="-4.5967 1.4491 8.3978 -5.5180 -1.3472 7.8414 -2.8888 -0.8785 9.1997" Properties=species:S:1:pos:R:3 pbc="T T T"
W -0.0627 -0.0037 0.1227
Zr -3.2509 -0.1941 6.3597
Br -9.7527 -0.5824 19.0792
W -6.4391 -0.3845 12.5968
```

Computed properties:
Fermi-level density of states	4.418	states/eV/f.u.
energy relative to the elements, uncorrected	0.795	eV per atom
crystal system	trigonal
total magnetization	0.0	μB per formula unit


# 12
# ZrW2Br

A geometry-optimized ZrW2Br structure (PBE, Alexandria).

```
4
Lattice="5.8387 0.0041 0.0185 3.2781 4.8316 -0.0185 -4.1536 -3.1811 2.5921" Properties=species:S:1:pos:R:3 pbc="T T T"
Br 1.8415 2.0342 1.2868
Zr 3.1218 -0.3796 1.3053
W 4.5299 2.4028 0.0000
W 0.0285 0.0151 0.0000
```

Computed properties:
Fermi-level density of states	3.201	states/eV/f.u.
energy relative to the elements, uncorrected	0.573	eV per atom
crystal system	orthorhombic
total magnetization	0.0	μB per formula unit


# 13
# Zr2WBr

A geometry-optimized Zr2WBr structure (PBE, Alexandria).

```
4
Lattice="3.1005 0.0371 0.0000 -1.2203 2.8505 0.0000 0.0000 0.0000 10.1164" Properties=species:S:1:pos:R:3 pbc="T T T"
Zr 0.9401 1.4438 2.5519
W 0.9401 1.4438 8.0002
Br 0.0000 0.0000 4.6652
Zr 0.0000 0.0000 10.0738
```

Computed properties:
Fermi-level density of states	4.647	states/eV/f.u.
energy relative to the elements, uncorrected	0.303	eV per atom
crystal system	orthorhombic
total magnetization	0.0	μB per formula unit


# 14
# ZrW2Br

A geometry-optimized ZrW2Br structure (PBE, Alexandria).

```
4
Lattice="-2.9431 0.2642 -4.5188 5.1549 -1.6042 -0.0744 -0.8759 -2.8332 0.4048" Properties=species:S:1:pos:R:3 pbc="T T T"
W 0.0000 0.0000 0.0000
Br 2.1395 -2.2187 0.1652
W 1.1059 -0.6700 -2.2966
Zr -1.9095 -1.2845 -2.0570
```

Computed properties:
Fermi-level density of states	4.240	states/eV/f.u.
energy relative to the elements, uncorrected	0.871	eV per atom
crystal system	orthorhombic
total magnetization	0.0	μB per formula unit


# 15
# Zr2WBr

A geometry-optimized Zr2WBr structure (PBE, Alexandria).

```
4
Lattice="-5.2732 -2.5743 -3.3664 4.4247 1.1492 -2.0806 0.7172 -3.0217 -0.9495" Properties=species:S:1:pos:R:3 pbc="T T T"
Zr -2.2780 -2.7980 -2.1580
W -0.4242 -0.7126 -2.7235
Zr 0.0000 0.0000 0.0000
Br 2.5710 -0.9362 -1.5151
```

Computed properties:
Fermi-level density of states	4.398	states/eV/f.u.
energy relative to the elements, uncorrected	0.223	eV per atom
crystal system	monoclinic
total magnetization	0.0	μB per formula unit


# 16
# Zr2WBr

A geometry-optimized Zr2WBr structure (PBE, Alexandria).

```
4
Lattice="5.4744 0.0034 0.0022 4.5047 3.1109 0.0022 -0.4475 -0.1397 4.7619" Properties=species:S:1:pos:R:3 pbc="T T T"
Zr 7.0570 2.2023 3.1137
Br 4.3912 1.3704 2.9022
W 2.6938 0.8407 0.6896
Zr 0.1554 0.0485 0.4440
```

Computed properties:
Fermi-level density of states	2.442	states/eV/f.u.
energy relative to the elements, uncorrected	0.158	eV per atom
crystal system	monoclinic
total magnetization	0.0	μB per formula unit


# 17
# Zr2WBr

A geometry-optimized Zr2WBr structure (PBE, Alexandria).

```
4
Lattice="-0.3380 -3.1996 0.8684 3.0043 0.0736 1.4404 -3.3319 2.2075 6.8367" Properties=species:S:1:pos:R:3 pbc="T T T"
Zr -3.1721 2.1016 6.5088
W -1.1658 0.0926 6.2819
Br 0.5002 -1.0111 2.8636
Zr -1.8258 1.2096 3.7463
```

Computed properties:
Fermi-level density of states	3.600	states/eV/f.u.
energy relative to the elements, uncorrected	-0.170	eV per atom
crystal system	tetragonal
total magnetization	0.0	μB per formula unit


# 18
# ZrW2Br

A geometry-optimized ZrW2Br structure (PBE, Alexandria).

```
4
Lattice="-1.9917 -0.5099 5.0129 3.9216 -1.1417 3.5599 -1.7327 3.6985 -3.5601" Properties=species:S:1:pos:R:3 pbc="T T T"
Br 1.5382 0.8987 1.9710
Zr 0.9436 -0.8074 4.1912
W 1.9203 -1.6432 8.5296
W -1.3098 1.1216 3.1800
```

Computed properties:
Fermi-level density of states	3.825	states/eV/f.u.
energy relative to the elements, uncorrected	0.705	eV per atom
crystal system	orthorhombic
total magnetization	0.0	μB per formula unit


# 19
# ZrW2Br

A geometry-optimized ZrW2Br structure (PBE, Alexandria).

```
4
Lattice="2.9332 0.0000 0.0000 0.0000 2.9332 0.0000 0.0000 0.0000 8.6530" Properties=species:S:1:pos:R:3 pbc="T T T"
Zr 1.4666 1.4666 2.1633
W 0.0000 0.0000 8.5468
W 0.0000 0.0000 4.4328
Br 1.4666 1.4666 6.4898
```

Computed properties:
Fermi-level density of states	4.553	states/eV/f.u.
energy relative to the elements, uncorrected	0.931	eV per atom
crystal system	tetragonal
total magnetization	0.0	μB per formula unit


# 20
# Zr2WBr

A geometry-optimized Zr2WBr structure (PBE, Alexandria).

```
4
Lattice="3.0289 0.0000 0.0000 0.0000 3.0289 0.0000 0.0000 0.0000 10.2264" Properties=species:S:1:pos:R:3 pbc="T T T"
Br 0.0000 0.0000 4.4978
W 1.5144 1.5144 8.1535
Zr 1.5144 1.5144 2.6754
Zr 0.0000 0.0000 0.0129
```

Computed properties:
Fermi-level density of states	3.252	states/eV/f.u.
energy relative to the elements, uncorrected	0.420	eV per atom
crystal system	tetragonal
total magnetization	0.0	μB per formula unit